Entry from the Alexandria database: crystalline TbCe4Er3S8 at its relaxed geometry (PBE-GGA).

Geometry as POSCAR:
```
TbCe4Er3S8
1.0
7.858 0.000 0.000
0.000 7.952 0.060
-3.929 -3.925 5.560
Tb Ce Er S
1 4 3 8
Cartesian
0.000 3.976 0.030
3.929 0.000 0.000
1.965 -1.962 2.780
0.000 0.000 0.000
-1.965 -1.962 2.780
3.929 3.976 0.030
1.965 2.013 2.810
-1.965 2.013 2.810
-1.948 1.972 5.546
0.000 3.918 2.790
0.000 0.108 2.853
1.948 1.972 5.546
1.981 2.055 0.074
3.929 3.918 2.766
3.929 0.109 2.830
5.877 2.055 0.074
```

Summary:
Spin magnetization, Bohr magnetons per cell: 2.68
Total DFT energy (no corrections), eV per cell: -107.4
Energy relative to the elements, uncorrected, meV/atom: -2020
Density of states at the Fermi level, states/eV/f.u.: 21.3